1.
Ca6HgPb5 | PBE | relaxed

Lattice parameters (Å, degrees): 8.9047 8.9047 7.5718 90.00 90.00 143.25
Closest atoms and distances in Å follow each position.
Sites, in units of the cell vectors:
Ca  0.0000  0.0000  0.2456  6 Pb 3.32-3.41, 2 Hg 3.37
Ca  0.0000  0.0000  0.7544  6 Pb 3.32-3.41, 2 Hg 3.37
Ca  0.3346  0.6654  0.2438  1 Hg 3.35, 7 Pb 3.36-3.44, 1 Ca 3.69
Ca  0.3346  0.6654  0.7562  1 Hg 3.35, 7 Pb 3.36-3.44, 1 Ca 3.69
Ca  0.6654  0.3346  0.2438  1 Hg 3.35, 7 Pb 3.36-3.44, 1 Ca 3.69
Ca  0.6654  0.3346  0.7562  1 Hg 3.35, 7 Pb 3.36-3.44, 1 Ca 3.69
Hg  0.5000  0.5000  0.0000  8 Ca 3.35-3.37
Pb  0.1626  0.8374  0.0000  8 Ca 3.32-3.44
Pb  0.1667  0.8333  0.5000  8 Ca 3.41-3.44, 2 Pb 3.79
Pb  0.5000  0.5000  0.5000  8 Ca 3.40, 2 Hg 3.79
Pb  0.8333  0.1667  0.5000  8 Ca 3.41-3.44, 2 Pb 3.79
Pb  0.8374  0.1626  0.0000  8 Ca 3.32-3.44

energy: -3.111 eV/atom
formation enthalpy at 0 K: -0.5404 eV/atom

---

2.
Ce2SmGe | PBE | relaxed

Lattice parameters (Å, degrees): 4.5089 4.5089 4.9501 90.00 90.00 90.00
Closest atoms and distances in Å follow each position.
Sites, in units of the cell vectors:
Ce  0.0000  0.5000  0.0000  4 Ce 3.19, 4 Ge 3.35, 4 Sm 3.35
Ce  0.5000  0.0000  0.0000  4 Ce 3.19, 4 Ge 3.35, 4 Sm 3.35
Sm  0.0000  0.0000  0.5000  4 Ge 3.19, 8 Ce 3.35
Ge  0.5000  0.5000  0.5000  4 Sm 3.19, 8 Ce 3.35

energy: -5.664 eV/atom
formation enthalpy at 0 K: -0.3628 eV/atom